Entry 1:
Here is Rb3TbU2S6 after structural relaxation from Alexandria via LeMat-Bulk. Energies are from GGA-PBE.

abc: 7.0737 12.2531 8.0800
angles: 90.00 106.96 90.00
Space group C2/m (No. 12)
Inequivalent atoms, fractional coordinates:
1 Rb 0.0000 0.0000 0.0000
2 Rb 0.0000 0.3341 0.0000
3 Tb 0.0000 0.5000 0.5000
4 U 0.0000 0.1667 0.5000
5 S 0.2296 0.0000 0.6934
6 S 0.2319 0.3326 0.6936

Properties
Total moment, μB per cell: 12.03
Energy relative to the elements, uncorrected, meV per atom: -1507
DOS(E_F), states/eV/cell: 13.50



Entry 2:
Here is Rb3Tb2US6 after structural relaxation from Alexandria via LeMat-Bulk. Energies are from GGA-PBE.

abc: 7.1113 12.3234 8.0536
angles: 90.00 107.13 90.00
Space group C2/m (No. 12)
Inequivalent atoms, fractional coordinates:
1 Rb 0.0000 0.0000 0.0000
2 Rb 0.0000 0.3323 0.0000
3 Tb 0.0000 0.1666 0.5000
4 U 0.0000 0.5000 0.5000
5 S 0.2312 0.0000 0.6932
6 S 0.2309 0.3333 0.6929

Properties
Total moment, μB per cell: 6.02
Energy relative to the elements, uncorrected, meV per atom: -1663
DOS(E_F), states/eV/cell: 21.04



Q: Which formula does entry 2 have?
A: Rb3Tb2US6



Q: The highest DOS(E_F) belongs to which entry?
A: Rb3Tb2US6



Q: What is the formula in the first record?
A: Rb3TbU2S6



Q: Which of these has the highest DOS(E_F)?
A: Rb3Tb2US6